1.
Here is crystalline Mg12CdPb3 at its relaxed geometry from the Alexandria database. Energies are from PBE-GGA.

a b c (Å): 4.504 4.504 18.481
angles (deg): 90.00 90.00 90.00
Fractional coordinates of all 16 atoms:
Mg (0.000, 0.000, 0.000)
Mg (0.000, 0.000, 0.247)
Mg (0.000, 0.000, 0.500)
Mg (0.000, 0.000, 0.753)
Mg (0.000, 0.500, 0.121)
Mg (0.000, 0.500, 0.373)
Mg (0.000, 0.500, 0.627)
Mg (0.000, 0.500, 0.879)
Mg (0.500, 0.000, 0.121)
Mg (0.500, 0.000, 0.373)
Mg (0.500, 0.000, 0.627)
Mg (0.500, 0.000, 0.879)
Cd (0.500, 0.500, 0.000)
Pb (0.500, 0.500, 0.247)
Pb (0.500, 0.500, 0.500)
Pb (0.500, 0.500, 0.753)

- electronic total energy (eV for the cell shown) = -32.1
- crystal system = tetragonal

---

2.
Here is crystalline K2MnPd2 at its relaxed geometry from the Alexandria database. Energies are from PBE-GGA.

a b c (Å): 6.763 6.763 5.471
angles (deg): 90.00 90.00 90.00
Fractional coordinates of all 10 atoms:
K (0.174, 0.326, 0.000)
K (0.326, 0.826, 0.000)
K (0.674, 0.174, 0.000)
K (0.826, 0.674, 0.000)
Mn (0.000, 0.000, 0.500)
Mn (0.500, 0.500, 0.500)
Pd (0.140, 0.640, 0.500)
Pd (0.360, 0.140, 0.500)
Pd (0.640, 0.860, 0.500)
Pd (0.860, 0.360, 0.500)

- electronic total energy (eV for the cell shown) = -41.4
- crystal system = tetragonal

---

3.
Here is crystalline ScFeTe2 at its relaxed geometry from the Alexandria database. Energies are from PBE-GGA.

a b c (Å): 7.755 7.755 7.755
angles (deg): 132.72 132.72 69.10
Fractional coordinates of all 8 atoms:
Sc (0.000, 0.000, 0.000)
Sc (0.750, 0.250, 0.500)
Fe (0.250, 0.750, 0.500)
Fe (0.500, 0.500, 0.000)
Te (0.155, 0.625, 0.030)
Te (0.375, 0.405, 0.530)
Te (0.595, 0.125, 0.970)
Te (0.875, 0.845, 0.470)

- uncorrected formation energy (meV/atom) = -312.7
- crystal system = tetragonal

---

4.
Here is crystalline AlCdSi at its relaxed geometry from the Alexandria database. Energies are from PBE-GGA.

a b c (Å): 5.856 5.856 5.856
angles (deg): 151.97 142.81 47.20
Fractional coordinates of all 3 atoms:
Al (0.000, 0.000, 0.000)
Cd (0.691, 0.691, 0.000)
Si (0.379, 0.379, 0.000)

- uncorrected formation energy (meV/atom) = 276.8
- crystal system = orthorhombic

---

5.
Here is crystalline CuGe2Ir at its relaxed geometry from the Alexandria database. Energies are from PBE-GGA.

a b c (Å): 4.377 4.377 4.377
angles (deg): 60.00 60.00 60.00
Fractional coordinates of all 4 atoms:
Cu (0.000, 0.000, 0.000)
Ge (0.250, 0.250, 0.250)
Ge (0.750, 0.750, 0.750)
Ir (0.500, 0.500, 0.500)

- electronic total energy (eV for the cell shown) = -21.9
- crystal system = cubic

---

6.
Here is crystalline La2CdBi2 at its relaxed geometry from the Alexandria database. Energies are from PBE-GGA.

a b c (Å): 8.889 8.889 4.290
angles (deg): 90.00 90.00 90.00
Fractional coordinates of all 10 atoms:
La (0.145, 0.355, 0.000)
La (0.355, 0.855, 0.000)
La (0.645, 0.145, 0.000)
La (0.855, 0.645, 0.000)
Cd (0.000, 0.000, 0.000)
Cd (0.500, 0.500, 0.000)
Bi (0.160, 0.660, 0.500)
Bi (0.340, 0.160, 0.500)
Bi (0.660, 0.840, 0.500)
Bi (0.840, 0.340, 0.500)

- electronic total energy (eV for the cell shown) = -43.8
- crystal system = tetragonal

---

7.
Here is crystalline Ca2HoReO6 at its relaxed geometry from the Alexandria database. Energies are from PBE-GGA.

a b c (Å): 5.557 5.557 4.911
angles (deg): 90.00 90.00 90.00
Fractional coordinates of all 10 atoms:
Ca (0.000, 0.500, 0.000)
Ca (0.500, 0.000, 0.000)
Ho (0.000, 0.000, 0.602)
Re (0.500, 0.500, 0.582)
O (0.000, 0.000, 0.170)
O (0.269, 0.269, 0.737)
O (0.269, 0.731, 0.737)
O (0.500, 0.500, 0.225)
O (0.731, 0.269, 0.737)
O (0.731, 0.731, 0.737)

- uncorrected formation energy (meV/atom) = -2468.7
- crystal system = tetragonal

---

8.
Here is crystalline CeErThTc at its relaxed geometry from the Alexandria database. Energies are from PBE-GGA.

a b c (Å): 4.448 4.448 6.893
angles (deg): 108.86 108.86 60.22
Fractional coordinates of all 4 atoms:
Ce (0.000, 0.000, 0.000)
Er (0.227, 0.227, 0.679)
Th (0.438, 0.438, 0.311)
Tc (0.649, 0.649, 0.941)

- electronic total energy (eV for the cell shown) = -27.6
- crystal system = monoclinic

---

9.
Here is crystalline SmPuAgBi at its relaxed geometry from the Alexandria database. Energies are from PBE-GGA.

a b c (Å): 5.389 5.389 5.389
angles (deg): 60.00 60.00 60.00
Fractional coordinates of all 4 atoms:
Sm (0.000, 0.000, 0.000)
Pu (0.500, 0.500, 0.500)
Ag (0.750, 0.750, 0.750)
Bi (0.250, 0.250, 0.250)

- electronic total energy (eV for the cell shown) = -27.0
- crystal system = cubic

---

10.
Here is crystalline In2CuAg6 at its relaxed geometry from the Alexandria database. Energies are from PBE-GGA.

a b c (Å): 8.489 8.489 8.489
angles (deg): 159.99 123.74 60.33
Fractional coordinates of all 9 atoms:
In (0.149, 0.149, 0.000)
In (0.851, 0.851, 0.000)
Cu (0.500, 0.000, 0.500)
Ag (0.157, 0.328, 0.828)
Ag (0.194, 0.500, 0.694)
Ag (0.500, 0.328, 0.172)
Ag (0.500, 0.672, 0.828)
Ag (0.806, 0.500, 0.306)
Ag (0.843, 0.672, 0.172)

- electronic total energy (eV for the cell shown) = -25.5
- crystal system = orthorhombic

---

11.
Here is crystalline LaDySi at its relaxed geometry from the Alexandria database. Energies are from PBE-GGA.

a b c (Å): 4.741 4.741 4.317
angles (deg): 90.00 90.00 120.00
Fractional coordinates of all 3 atoms:
La (0.000, 0.000, 0.000)
Dy (0.333, 0.667, 0.532)
Si (0.667, 0.333, 0.386)

- uncorrected formation energy (meV/atom) = -346.4
- crystal system = trigonal

---

12.
Here is crystalline Ho6NiHg at its relaxed geometry from the Alexandria database. Energies are from PBE-GGA.

a b c (Å): 6.841 6.848 7.216
angles (deg): 90.09 118.17 119.93
Fractional coordinates of all 8 atoms:
Ho (0.041, 0.082, 0.259)
Ho (0.300, 0.718, 0.258)
Ho (0.322, 0.541, 0.742)
Ho (0.678, 0.459, 0.258)
Ho (0.700, 0.282, 0.742)
Ho (0.959, 0.918, 0.741)
Ni (0.500, 0.500, 0.500)
Hg (0.500, 0.000, 0.000)

- electronic total energy (eV for the cell shown) = -33.7
- crystal system = triclinic